A.
Pm7Er3Sc (GGA-PBE, optimized geometry); space-group type = C2/m, No. 12; total moment = 0.00 μB per cell
1.0
6.3260 -5.6616 0.0000
6.3260 5.6616 0.0000
-2.6417 0.0000 5.1475
Pm Er Sc
7 3 1
Direct
0.0000 0.0000 0.0000
0.0973 0.5237 0.3106
0.2864 0.2864 0.7880
0.4763 0.9027 0.6894
0.5237 0.0973 0.3106
0.7136 0.7136 0.2120
0.9027 0.4763 0.6894
0.2969 0.7031 0.0000
0.5000 0.5000 0.5000
0.7031 0.2969 0.0000
0.0000 0.0000 0.5000

B.
Pm7Er3Sc (GGA-PBE, optimized geometry); space-group type = C2/m, No. 12; total moment = 0.00 μB per cell
1.0
3.5112 -9.1935 0.0000
3.5112 9.1935 0.0000
-0.0761 0.0000 11.2958
Pm Er Sc
14 6 2
Direct
0.0881 0.4096 0.0289
0.0924 0.4139 0.4699
0.1688 0.3417 0.7491
0.2420 0.2420 0.2491
0.3417 0.1688 0.7491
0.4096 0.0881 0.0289
0.4139 0.0924 0.4699
0.5861 0.9076 0.5301
0.5904 0.9119 0.9711
0.6583 0.8312 0.2509
0.7580 0.7580 0.7509
0.8312 0.6583 0.2509
0.9076 0.5861 0.5301
0.9119 0.5904 0.9711
0.0000 0.0000 0.5000
0.2471 0.7503 0.2495
0.2497 0.7529 0.7505
0.5000 0.5000 0.0000
0.7503 0.2471 0.2495
0.7529 0.2497 0.7505
0.0000 0.0000 0.0000
0.5000 0.5000 0.5000

Stability check: which of them is least stable? A.

A.
Pm3Er6Sc (GGA-PBE, optimized geometry); space-group type = Cmc2_1, No. 36; total moment = 0.00 μB per cell
1.0
5.4450 -9.3918 0.0000
5.4450 9.3918 0.0000
0.0000 0.0000 6.1894
Pm Er Sc
6 12 2
Direct
0.1115 0.8885 0.5000
0.2199 0.4444 0.1097
0.4444 0.2199 0.6097
0.5556 0.7801 0.1097
0.7801 0.5556 0.6097
0.8885 0.1115 0.0000
0.0391 0.4596 0.6975
0.1180 0.2113 0.5240
0.2113 0.1180 0.0240
0.2213 0.7787 0.9328
0.4524 0.5476 0.6519
0.4596 0.0391 0.1975
0.5404 0.9609 0.6975
0.5476 0.4524 0.1519
0.7787 0.2213 0.4328
0.7887 0.8820 0.5240
0.8820 0.7887 0.0240
0.9609 0.5404 0.1975
0.2946 0.7054 0.4334
0.7054 0.2946 0.9334

B.
Pm3Er6Sc (GGA-PBE, optimized geometry); space-group type = P-1, No. 2; total moment = 0.00 μB per cell
1.0
6.0850 0.0000 0.0000
1.0065 6.0311 0.0000
3.0227 2.5409 8.4240
Pm Er Sc
3 6 1
Direct
0.0000 0.0000 0.0000
0.0040 0.6002 0.7956
0.9960 0.3998 0.2044
0.0008 0.7965 0.4028
0.4990 0.0982 0.3037
0.4993 0.6985 0.1030
0.5007 0.3015 0.8970
0.5010 0.9018 0.6963
0.9992 0.2035 0.5972
0.5000 0.5000 0.5000

Stability check: which of them is least stable? A.

A.
Pm3Er3Sc2 (GGA-PBE, optimized geometry); space-group type = Pmmm, No. 47; total moment = 0.00 μB per cell
1.0
4.9652 0.0000 0.0000
0.0000 4.9952 0.0000
0.0000 0.0000 9.7680
Pm Er Sc
3 3 2
Direct
0.0000 0.0000 0.0000
0.0000 0.0000 0.5000
0.5000 0.5000 0.0000
0.0000 0.5000 0.2520
0.0000 0.5000 0.7480
0.5000 0.5000 0.5000
0.5000 0.0000 0.2522
0.5000 0.0000 0.7478

B.
Pm3Er3Sc2 (GGA-PBE, optimized geometry); space-group type = C2/m, No. 12; total moment = 0.00 μB per cell
1.0
8.3931 -2.7258 0.0000
8.3931 2.7258 0.0000
-1.7694 0.0000 5.3656
Pm Er Sc
3 3 2
Direct
0.0000 0.0000 0.0000
0.1408 0.1408 0.6900
0.8592 0.8592 0.3100
0.3614 0.3614 0.8995
0.5000 0.5000 0.5000
0.6386 0.6386 0.1005
0.2498 0.2498 0.3103
0.7502 0.7502 0.6897

Stability check: which of them is least stable? B.

A.
PmEr4Sc3 (GGA-PBE, optimized geometry); space-group type = C2/m, No. 12; total moment = 0.00 μB per cell
1.0
6.4757 -5.5637 0.0000
6.4757 5.5637 0.0000
-0.8592 0.0000 3.2445
Pm Er Sc
1 4 3
Direct
0.0000 0.0000 0.0000
0.1243 0.6052 0.3624
0.3948 0.8757 0.6376
0.6052 0.1243 0.3624
0.8757 0.3948 0.6376
0.2626 0.2626 0.7622
0.5000 0.5000 0.5000
0.7374 0.7374 0.2378

B.
PmEr4Sc3 (GGA-PBE, optimized geometry); space-group type = Pmn2_1, No. 31; total moment = 0.00 μB per cell
1.0
10.8845 0.0000 0.0000
0.0000 7.0161 0.0000
0.0000 0.0000 6.0420
Pm Er Sc
2 8 6
Direct
0.0000 0.1190 0.0000
0.5000 0.8810 0.5000
0.0000 0.3706 0.4969
0.0000 0.6302 0.9919
0.2457 0.6302 0.3359
0.2543 0.3698 0.8359
0.5000 0.3698 0.4919
0.5000 0.6294 0.9969
0.7457 0.3698 0.8359
0.7543 0.6302 0.3359
0.0000 0.8773 0.5014
0.2490 0.1208 0.3303
0.2510 0.8792 0.8303
0.5000 0.1227 0.0014
0.7490 0.8792 0.8303
0.7510 0.1208 0.3303

Stability check: which of them is least stable? A.